! CaNiSe2 | Alexandria via LeMat-Bulk | PBE-GGA | relaxed; values from VASP
&SYSTEM
  ibrav = 0, nat = 4, ntyp = 3
/
ATOMIC_SPECIES
Ni 58.69 Ni.upf
Ca 40.08 Ca.upf
Se 78.96 Se.upf
CELL_PARAMETERS angstrom
-1.176 5.487 6.318
2.445 5.820 5.618
-0.017 7.666 3.557
ATOMIC_POSITIONS crystal
Ni 0.500 0.500 0.500
Ca 0.000 0.000 0.000
Se 0.883 0.883 0.883
Se 0.117 0.117 0.117
! Calculated volume   24.3 A^3/atom
! E_form (uncorrected)   -0.37 eV per atom
! E_tot   -16.23 eV per formula unit
! Magnetization   0.00 μB per cell